{
  "formula": "CuNiPtO6",
  "functional": "PBE with a Hubbard U",
  "state": "optimized geometry",
  "spacegroup": "P-31c, No. 163",
  "m_tot_mub_per_cell": 3.76,
  "n_ef_per_ev_fu": 7.02,
  "total_energy_ev_per_atom": -5.035,
  "cell": [[5.068, 0.000, 0.000], [-2.534, 4.389, 0.000], [0.000, 0.000, 8.377]],
  "species": ["Cu", "Cu", "Ni", "Ni", "Pt", "Pt", "O", "O", "O", "O", "O", "O", "O", "O", "O", "O", "O", "O"],
  "fractional_positions": [[0.000, 0.000, 0.000], [0.000, 0.000, 0.500], [0.333, 0.667, 0.250], [0.667, 0.333, 0.750], [0.333, 0.667, 0.750], [0.667, 0.333, 0.250], [0.004, 0.349, 0.123], [0.004, 0.654, 0.377], [0.346, 0.349, 0.377], [0.346, 0.996, 0.123], [0.349, 0.004, 0.623], [0.349, 0.346, 0.877], [0.651, 0.654, 0.123], [0.651, 0.996, 0.377], [0.654, 0.004, 0.877], [0.654, 0.651, 0.623], [0.996, 0.346, 0.623], [0.996, 0.651, 0.877]]
}